VASP calculation (GGA-PBEsol) on an optimized crystal structure of Fe4Co3.

**E_form**: 0.030 eV/atom
**Total magnetization**: 15.4 μB per formula unit
**Energy relative to the lowest polymorph listed for this composition**: 0.0112 eV per atom

Geometry as CIF:
```
data_Fe4Co3
_space_group_name_H-M_alt 'P -1'
_space_group_IT_number 2
_cell_length_a 2.425
_cell_length_b 6.074
_cell_length_c 6.078
_cell_angle_alpha 118.29
_cell_angle_beta 97.90
_cell_angle_gamma 97.19
loop_
_space_group_symop_operation_xyz
'x,y,z'
'-x,-y,-z'
loop_
_atom_site_label
_atom_site_fract_x
_atom_site_fract_y
_atom_site_fract_z
_atom_site_occupancy
Fe1 0.142 0.356 0.072 1
Fe2 0.286 0.214 0.641 1
Co1 0.000 0.500 0.500 1
Co2 0.418 0.070 0.215 1
```